(1)
Density functional theory data (PBE) for crystalline BaTe2 at its relaxed geometry.

The space-group type is No. 139. The raw formation energy comes out at -1093 meV per atom. As for the total energy: -3.828 eV per atom.

Lattice parameters (Å, degrees): 6.743 6.743 6.743 139.24 139.24 59.02
Element x y z (fractional)
Ba 0.000 0.000 0.000
Te 0.380 0.380 0.000
Te 0.620 0.620 0.000

***

(2)
Density functional theory data (PBE) for crystalline Ba2Te at its relaxed geometry.

The space-group type is No. 139. The raw formation energy comes out at -1038 meV per atom. As for the total energy: -3.367 eV per atom. For the density of states at the Fermi level, the calculation gives 2.579 states/eV/cell.

Lattice parameters (Å, degrees): 8.412 8.412 8.412 150.26 150.26 42.56
Element x y z (fractional)
Ba 0.128 0.128 0.000
Ba 0.872 0.872 0.000
Te 0.500 0.500 0.000

***

(3)
Density functional theory data (PBE) for crystalline BaTe at its relaxed geometry.

The space-group type is No. 63. The raw formation energy comes out at -1679 meV per atom. As for the total energy: -4.211 eV per atom. For the density of states at the Fermi level, the calculation gives 0.000 states/eV/cell.

Lattice parameters (Å, degrees): 7.074 7.074 5.442 90.00 90.00 142.33
Element x y z (fractional)
Ba 0.121 0.879 0.750
Ba 0.879 0.121 0.250
Te 0.381 0.619 0.750
Te 0.619 0.381 0.250

***

(4)
Density functional theory data (PBE) for crystalline Ba6Te5 at its relaxed geometry.

The space-group type is No. 12. The raw formation energy comes out at -1587 meV per atom. As for the total energy: -4.064 eV per atom. For the density of states at the Fermi level, the calculation gives 5.286 states/eV/cell.

Lattice parameters (Å, degrees): 8.614 8.614 8.622 99.60 99.60 119.97
Element x y z (fractional)
Ba 0.077 0.416 0.747
Ba 0.246 0.246 0.253
Ba 0.416 0.077 0.747
Ba 0.584 0.923 0.253
Ba 0.754 0.754 0.747
Ba 0.923 0.584 0.253
Te 0.000 0.000 0.500
Te 0.167 0.833 0.000
Te 0.334 0.666 0.500
Te 0.666 0.334 0.500
Te 0.833 0.167 0.000

***

(5)
Density functional theory data (PBE) for crystalline Ba2Te at its relaxed geometry.

The space-group type is No. 140. The raw formation energy comes out at -1048 meV per atom. As for the total energy: -3.377 eV per atom. For the density of states at the Fermi level, the calculation gives 5.469 states/eV/cell.

Lattice parameters (Å, degrees): 7.153 7.153 7.153 110.46 110.46 107.51
Element x y z (fractional)
Ba 0.190 0.690 0.880
Ba 0.310 0.190 0.500
Ba 0.690 0.810 0.500
Ba 0.810 0.310 0.120
Te 0.250 0.250 0.000
Te 0.750 0.750 0.000

***

(6)
Density functional theory data (PBE) for crystalline Ba5Te3 at its relaxed geometry.

The space-group type is No. 65. The raw formation energy comes out at -1098 meV per atom. As for the total energy: -3.477 eV per atom. For the density of states at the Fermi level, the calculation gives 6.400 states/eV/cell.

Lattice parameters (Å, degrees): 8.349 8.349 5.174 90.00 90.00 106.88
Element x y z (fractional)
Ba 0.000 0.000 0.000
Ba 0.000 0.500 0.000
Ba 0.278 0.278 0.500
Ba 0.500 0.000 0.000
Ba 0.722 0.722 0.500
Te 0.182 0.818 0.500
Te 0.500 0.500 0.000
Te 0.818 0.182 0.500